# MnRuW2

A geometry-optimized MnRuW2 structure (PBE, Alexandria via LeMat-Bulk).

Values from the calculation:
For the formation energy, the calculation gives 178 meV/atom. Its offset from the most stable computed form is 0.348 eV per formula unit. The size of the total moment is 0.532 μB per atom. Its space group is Imm2, No. 44. The calculated volume is 14.754 Å³/atom.

Lattice parameters (Å, degrees): 5.100 5.100 5.100 144.49 129.19 63.52
Atoms (fractional coordinates):
1 W 0.006 0.006 0.000
2 Mn 0.491 0.491 0.000
3 Ru 0.750 0.250 0.500
4 W 0.253 0.753 0.500

# Mn2RuW

A geometry-optimized Mn2RuW structure (PBE, Alexandria via LeMat-Bulk).

Values from the calculation:
For the formation energy, the calculation gives 82 meV/atom. Its offset from the most stable computed form is 0.056 eV per formula unit. The size of the total moment is 0.913 μB per atom. Its space group is P4mm, No. 99. The calculated volume is 13.548 Å³/atom.

Lattice parameters (Å, degrees): 3.039 3.039 5.867 90.00 90.00 90.00
Atoms (fractional coordinates):
1 Mn 0.000 0.000 0.006
2 W 0.500 0.500 0.766
3 Mn 0.500 0.500 0.236
4 Ru 0.000 0.000 0.492

# Mn2RuW

A geometry-optimized Mn2RuW structure (PBE, Alexandria via LeMat-Bulk).

Values from the calculation:
For the formation energy, the calculation gives 68 meV/atom. Its offset from the most stable computed form is 0.000 eV per formula unit. The size of the total moment is 0.182 μB per atom. Its space group is I-4m2, No. 119. The calculated volume is 13.606 Å³/atom.

Lattice parameters (Å, degrees): 4.670 4.670 4.670 132.42 132.42 69.56
Atoms (fractional coordinates):
1 Mn 0.250 0.750 0.500
2 W 0.750 0.250 0.500
3 Ru 0.500 0.500 0.000
4 Mn 0.000 0.000 0.000

# MnRuW2

A geometry-optimized MnRuW2 structure (PBE, Alexandria via LeMat-Bulk).

Values from the calculation:
For the formation energy, the calculation gives 174 meV/atom. Its offset from the most stable computed form is 0.333 eV per formula unit. The size of the total moment is 0.691 μB per atom. Its space group is Cmm2, No. 35. The calculated volume is 14.816 Å³/atom.

Lattice parameters (Å, degrees): 2.712 2.712 8.513 90.00 90.00 108.86
Atoms (fractional coordinates):
1 Ru 0.500 0.500 0.740
2 Mn 0.000 0.000 0.505
3 W 0.000 0.000 0.994
4 W 0.500 0.500 0.262

# MnRu2W

A geometry-optimized MnRu2W structure (PBE, Alexandria via LeMat-Bulk).

Values from the calculation:
For the formation energy, the calculation gives 727 meV/atom. Its offset from the most stable computed form is 2.894 eV per formula unit. The size of the total moment is 0.815 μB per atom. Its space group is Immm, No. 71. The calculated volume is 15.891 Å³/atom.

Lattice parameters (Å, degrees): 5.746 5.746 5.746 55.02 152.36 133.42
Atoms (fractional coordinates):
1 W 0.000 0.500 0.500
2 Mn 0.000 0.000 0.000
3 Ru 0.000 0.269 0.269
4 Ru 0.000 0.731 0.731

# MnRuW2

A geometry-optimized MnRuW2 structure (PBE, Alexandria via LeMat-Bulk).

Values from the calculation:
For the formation energy, the calculation gives 144 meV/atom. Its offset from the most stable computed form is 0.213 eV per formula unit. The size of the total moment is 0.159 μB per atom. Its space group is P4/mmm, No. 123. The calculated volume is 14.395 Å³/atom.

Lattice parameters (Å, degrees): 2.878 2.878 6.952 90.00 90.00 90.00
Atoms (fractional coordinates):
1 W 0.000 0.000 0.018
2 Ru 0.500 0.500 0.750
3 W 0.000 0.000 0.482
4 Mn 0.500 0.500 0.250

# MnRuW2

A geometry-optimized MnRuW2 structure (PBE, Alexandria via LeMat-Bulk).

Values from the calculation:
For the formation energy, the calculation gives 103 meV/atom. Its offset from the most stable computed form is 0.047 eV per formula unit. The size of the total moment is 0.706 μB per atom. Its space group is Immm, No. 71. The calculated volume is 14.780 Å³/atom.

Lattice parameters (Å, degrees): 5.094 5.094 4.333 64.86 64.86 35.99
Atoms (fractional coordinates):
1 W 0.998 0.998 0.002
2 Ru 0.750 0.750 0.750
3 Mn 0.250 0.250 0.250
4 W 0.502 0.502 0.498

# MnRuW2

A geometry-optimized MnRuW2 structure (PBE, Alexandria via LeMat-Bulk).

Values from the calculation:
For the formation energy, the calculation gives 147 meV/atom. Its offset from the most stable computed form is 0.224 eV per formula unit. The size of the total moment is 0.644 μB per atom. Its space group is C2/m, No. 12. The calculated volume is 14.782 Å³/atom.

Lattice parameters (Å, degrees): 5.005 5.005 2.720 81.33 81.33 115.27
Atoms (fractional coordinates):
1 Mn 0.500 0.000 0.500
2 W 0.000 0.000 0.000
3 W 0.500 0.500 0.000
4 Ru 0.000 0.500 0.500

# MnRu2W

A geometry-optimized MnRu2W structure (PBE, Alexandria via LeMat-Bulk).

Values from the calculation:
For the formation energy, the calculation gives 276 meV/atom. Its offset from the most stable computed form is 1.090 eV per formula unit. The size of the total moment is 1.009 μB per atom. Its space group is F-43m, No. 216. The calculated volume is 14.402 Å³/atom.

Lattice parameters (Å, degrees): 4.335 4.335 4.335 60.00 60.00 60.00
Atoms (fractional coordinates):
1 Ru 0.000 0.000 0.000
2 Ru 0.250 0.250 0.250
3 Mn 0.500 0.500 0.500
4 W 0.750 0.750 0.750

# Mn5RuW

A geometry-optimized Mn5RuW structure (PBE, Alexandria via LeMat-Bulk).

Values from the calculation:
For the formation energy, the calculation gives 80 meV/atom. The size of the total moment is 0.327 μB per atom. Its space group is Pnma, No. 62. The calculated volume is 12.389 Å³/atom.

Lattice parameters (Å, degrees): 4.608 7.713 9.759 90.00 90.00 90.00
Atoms (fractional coordinates):
1 W 0.250 0.748 0.563
2 Ru 0.750 0.134 0.150
3 Ru 0.250 0.866 0.850
4 Mn 0.991 0.926 0.310
5 Mn 0.250 0.090 0.476
6 Mn 0.250 0.191 0.249
7 Mn 0.509 0.926 0.310
8 Mn 0.009 0.574 0.810
9 Mn 0.250 0.590 0.024
10 Mn 0.250 0.449 0.417
11 Mn 0.750 0.051 0.917
12 Ru 0.750 0.634 0.350
13 Ru 0.250 0.366 0.650
14 Mn 0.509 0.426 0.190
15 Mn 0.750 0.910 0.524
16 Mn 0.750 0.551 0.583
17 Mn 0.750 0.309 0.749
18 Mn 0.009 0.074 0.690
19 Mn 0.991 0.426 0.190
20 Mn 0.491 0.574 0.810
21 Mn 0.491 0.074 0.690
22 W 0.750 0.252 0.437
23 W 0.750 0.752 0.063
24 Mn 0.250 0.691 0.251
25 Mn 0.250 0.949 0.083
26 Mn 0.750 0.410 0.976
27 W 0.250 0.248 0.937
28 Mn 0.750 0.809 0.751

# MnRuW2

A geometry-optimized MnRuW2 structure (PBE, Alexandria via LeMat-Bulk).

Values from the calculation:
For the formation energy, the calculation gives 112 meV/atom. Its offset from the most stable computed form is 0.084 eV per formula unit. The size of the total moment is 0.697 μB per atom. Its space group is F-43m, No. 216. The calculated volume is 14.859 Å³/atom.

Lattice parameters (Å, degrees): 4.380 4.380 4.380 60.00 60.00 60.00
Atoms (fractional coordinates):
1 W 0.000 0.000 0.000
2 Ru 0.750 0.750 0.750
3 Mn 0.500 0.500 0.500
4 W 0.250 0.250 0.250

# Mn2RuW

A geometry-optimized Mn2RuW structure (PBE, Alexandria via LeMat-Bulk).

Values from the calculation:
For the formation energy, the calculation gives 108 meV/atom. Its offset from the most stable computed form is 0.162 eV per formula unit. The size of the total moment is 1.168 μB per atom. Its space group is Imm2, No. 44. The calculated volume is 13.667 Å³/atom.

Lattice parameters (Å, degrees): 4.994 4.994 4.994 144.23 130.61 62.47
Atoms (fractional coordinates):
1 Mn 0.997 0.997 0.000
2 W 0.248 0.748 0.500
3 Ru 0.502 0.502 0.000
4 Mn 0.752 0.252 0.500